Record 1
Density functional theory data (GGA-PBE) for an optimized crystal structure of NbOs2Pd.

Geometry as CIF:
```
data_NbOs2Pd
_space_group_name_H-M_alt 'F m -3 m'
_space_group_IT_number 225
_space_group_name_Hall '-F 4 2 3'
_cell_length_a 6.297
_cell_length_b 6.297
_cell_length_c 6.297
_cell_angle_alpha 90.00
_cell_angle_beta 90.00
_cell_angle_gamma 90.00
loop_
_atom_site_label
_atom_site_fract_x
_atom_site_fract_y
_atom_site_fract_z
_atom_site_occupancy
Nb1 0.000 0.000 0.000 1
Os1 0.250 0.250 0.250 1
Pd1 0.000 0.000 0.500 1
```

For the formation energy, the calculation gives 0.234 eV per atom. The total energy is -0.6759 Ry/atom. The calculation puts the polymorph energy (0 for the lowest one) at 0.352 eV/atom. For the volume, the calculation gives 249.7 Å³/cell.



Record 2
Density functional theory data (GGA-PBE) for an optimized crystal structure of NbOs2Pd.

Geometry as CIF:
```
data_NbOs2Pd
_space_group_name_H-M_alt 'I -4 2 d'
_space_group_IT_number 122
_space_group_name_Hall 'I -4 2bw'
_cell_length_a 3.869
_cell_length_b 3.869
_cell_length_c 18.377
_cell_angle_alpha 90.00
_cell_angle_beta 90.00
_cell_angle_gamma 90.00
loop_
_atom_site_label
_atom_site_fract_x
_atom_site_fract_y
_atom_site_fract_z
_atom_site_occupancy
Nb1 0.000 0.000 0.000 1
Os1 0.198 0.250 0.625 1
Pd1 0.000 0.000 0.500 1
```

For the formation energy, the calculation gives 0.539 eV per atom. The total energy is -0.6535 Ry/atom. The calculation puts the polymorph energy (0 for the lowest one) at 0.657 eV/atom. For the volume, the calculation gives 275.1 Å³/cell.



Record 3
Density functional theory data (GGA-PBE) for an optimized crystal structure of Nb3OsPd.

Geometry as CIF:
```
data_Nb3OsPd
_space_group_name_H-M_alt 'P m -3 m'
_space_group_IT_number 221
_space_group_name_Hall '-P 4 2 3'
_cell_length_a 4.742
_cell_length_b 4.742
_cell_length_c 4.742
_cell_angle_alpha 90.00
_cell_angle_beta 90.00
_cell_angle_gamma 90.00
loop_
_atom_site_label
_atom_site_fract_x
_atom_site_fract_y
_atom_site_fract_z
_atom_site_occupancy
Nb1 0.000 0.000 0.500 1
Os1 0.500 0.500 0.500 1
Pd1 0.000 0.000 0.000 1
```

For the formation energy, the calculation gives 1.676 eV per atom. The total energy is -0.5623 Ry/atom. The calculation puts the polymorph energy (0 for the lowest one) at 0.639 eV/atom. For the volume, the calculation gives 106.6 Å³/cell.



Record 4
Density functional theory data (GGA-PBE) for an optimized crystal structure of NbOs3Pd.

Geometry as CIF:
```
data_NbOs3Pd
_space_group_name_H-M_alt 'P m -3 m'
_space_group_IT_number 221
_space_group_name_Hall '-P 4 2 3'
_cell_length_a 4.723
_cell_length_b 4.723
_cell_length_c 4.723
_cell_angle_alpha 90.00
_cell_angle_beta 90.00
_cell_angle_gamma 90.00
loop_
_atom_site_label
_atom_site_fract_x
_atom_site_fract_y
_atom_site_fract_z
_atom_site_occupancy
Nb1 0.000 0.000 0.000 1
Os1 0.000 0.000 0.500 1
Pd1 0.500 0.500 0.500 1
```

For the formation energy, the calculation gives 2.324 eV per atom. The total energy is -0.5488 Ry/atom. The calculation puts the polymorph energy (0 for the lowest one) at 0.000 eV/atom. For the volume, the calculation gives 105.4 Å³/cell.



Record 5
Density functional theory data (GGA-PBE) for an optimized crystal structure of Nb2Os2Pd.

Geometry as CIF:
```
data_Nb2Os2Pd
_space_group_name_H-M_alt 'P 4/m b m'
_space_group_IT_number 127
_space_group_name_Hall '-P 4 2ab'
_cell_length_a 7.588
_cell_length_b 7.588
_cell_length_c 2.983
_cell_angle_alpha 90.00
_cell_angle_beta 90.00
_cell_angle_gamma 90.00
loop_
_atom_site_label
_atom_site_fract_x
_atom_site_fract_y
_atom_site_fract_z
_atom_site_occupancy
Nb1 0.152 0.348 0.000 1
Os1 0.143 0.643 0.500 1
Pd1 0.000 0.000 0.000 1
```

For the formation energy, the calculation gives 0.087 eV per atom. The total energy is -0.6961 Ry/atom. The calculation puts the polymorph energy (0 for the lowest one) at 0.133 eV/atom. For the volume, the calculation gives 171.8 Å³/cell.



Record 6
Density functional theory data (GGA-PBE) for an optimized crystal structure of NbOsPd.

Geometry as CIF:
```
data_NbOsPd
_space_group_name_H-M_alt 'I 4 m m'
_space_group_IT_number 107
_space_group_name_Hall 'I 4 -2'
_cell_length_a 2.809
_cell_length_b 2.809
_cell_length_c 12.062
_cell_angle_alpha 90.00
_cell_angle_beta 90.00
_cell_angle_gamma 90.00
loop_
_atom_site_label
_atom_site_fract_x
_atom_site_fract_y
_atom_site_fract_z
_atom_site_occupancy
Nb1 0.000 0.000 0.000 1
Os1 0.000 0.000 0.661 1
Pd1 0.000 0.000 0.325 1
```

For the formation energy, the calculation gives 0.008 eV per atom. The total energy is -0.6484 Ry/atom. The calculation puts the polymorph energy (0 for the lowest one) at 0.071 eV/atom. For the volume, the calculation gives 95.2 Å³/cell.



Record 7
Density functional theory data (GGA-PBE) for an optimized crystal structure of NbOs3Pd.

Geometry as CIF:
```
data_NbOs3Pd
_space_group_name_H-M_alt 'P m -3 m'
_space_group_IT_number 221
_space_group_name_Hall '-P 4 2 3'
_cell_length_a 4.631
_cell_length_b 4.631
_cell_length_c 4.631
_cell_angle_alpha 90.00
_cell_angle_beta 90.00
_cell_angle_gamma 90.00
loop_
_atom_site_label
_atom_site_fract_x
_atom_site_fract_y
_atom_site_fract_z
_atom_site_occupancy
Nb1 0.000 0.000 0.000 1
Os1 0.000 0.500 0.500 1
Pd1 0.500 0.500 0.500 1
```

For the formation energy, the calculation gives 2.485 eV per atom. The total energy is -0.5370 Ry/atom. The calculation puts the polymorph energy (0 for the lowest one) at 0.161 eV/atom. For the volume, the calculation gives 99.3 Å³/cell.



Record 8
Density functional theory data (GGA-PBE) for an optimized crystal structure of Nb3OsPd.

Geometry as CIF:
```
data_Nb3OsPd
_space_group_name_H-M_alt 'P m -3 m'
_space_group_IT_number 221
_space_group_name_Hall '-P 4 2 3'
_cell_length_a 4.822
_cell_length_b 4.822
_cell_length_c 4.822
_cell_angle_alpha 90.00
_cell_angle_beta 90.00
_cell_angle_gamma 90.00
loop_
_atom_site_label
_atom_site_fract_x
_atom_site_fract_y
_atom_site_fract_z
_atom_site_occupancy
Nb1 0.000 0.000 0.500 1
Os1 0.000 0.000 0.000 1
Pd1 0.500 0.500 0.500 1
```

For the formation energy, the calculation gives 1.037 eV per atom. The total energy is -0.6093 Ry/atom. The calculation puts the polymorph energy (0 for the lowest one) at 0.000 eV/atom. For the volume, the calculation gives 112.1 Å³/cell.



Record 9
Density functional theory data (GGA-PBE) for an optimized crystal structure of Nb6OsPd.

Geometry as CIF:
```
data_Nb6OsPd
_space_group_name_H-M_alt 'I 4/m m m'
_space_group_IT_number 139
_space_group_name_Hall '-I 4 2'
_cell_length_a 4.645
_cell_length_b 4.645
_cell_length_c 12.903
_cell_angle_alpha 90.00
_cell_angle_beta 90.00
_cell_angle_gamma 90.00
loop_
_atom_site_label
_atom_site_fract_x
_atom_site_fract_y
_atom_site_fract_z
_atom_site_occupancy
Nb1 0.000 0.000 0.249 1
Nb2 0.000 0.500 0.124 1
Os1 0.000 0.000 0.000 1
Pd1 0.000 0.000 0.500 1
```

For the formation energy, the calculation gives -0.144 eV per atom. The total energy is -0.7166 Ry/atom. For the volume, the calculation gives 278.4 Å³/cell.



Record 10
Density functional theory data (GGA-PBE) for an optimized crystal structure of NbOsPd3.

Geometry as CIF:
```
data_NbOsPd3
_space_group_name_H-M_alt 'P m -3 m'
_space_group_IT_number 221
_space_group_name_Hall '-P 4 2 3'
_cell_length_a 4.722
_cell_length_b 4.722
_cell_length_c 4.722
_cell_angle_alpha 90.00
_cell_angle_beta 90.00
_cell_angle_gamma 90.00
loop_
_atom_site_label
_atom_site_fract_x
_atom_site_fract_y
_atom_site_fract_z
_atom_site_occupancy
Nb1 0.000 0.000 0.000 1
Os1 0.500 0.500 0.500 1
Pd1 0.000 0.000 0.500 1
```

For the formation energy, the calculation gives 1.712 eV per atom. The total energy is -0.4163 Ry/atom. The calculation puts the polymorph energy (0 for the lowest one) at 0.154 eV/atom. For the volume, the calculation gives 105.3 Å³/cell.



Record 11
Density functional theory data (GGA-PBE) for an optimized crystal structure of TiNbOsPd.

Geometry as CIF:
```
data_TiNbOsPd
_space_group_name_H-M_alt 'F -4 3 m'
_space_group_IT_number 216
_space_group_name_Hall 'F -4 2 3'
_cell_length_a 6.357
_cell_length_b 6.357
_cell_length_c 6.357
_cell_angle_alpha 90.00
_cell_angle_beta 90.00
_cell_angle_gamma 90.00
loop_
_atom_site_label
_atom_site_fract_x
_atom_site_fract_y
_atom_site_fract_z
_atom_site_occupancy
Ti1 0.000 0.000 0.000 1
Nb1 0.000 0.000 0.500 1
Os1 0.250 0.250 0.250 1
Pd1 0.250 0.250 0.750 1
```

For the formation energy, the calculation gives -0.326 eV per atom. The total energy is -0.6558 Ry/atom. For the volume, the calculation gives 256.9 Å³/cell.



Record 12
Density functional theory data (GGA-PBE) for an optimized crystal structure of Ti5Nb2Os2Pd.

Geometry as CIF:
```
data_Ti5Nb2Os2Pd
_space_group_name_H-M_alt 'P 4/m b m'
_space_group_IT_number 127
_space_group_name_Hall '-P 4 2ab'
_cell_length_a 10.656
_cell_length_b 10.656
_cell_length_c 3.035
_cell_angle_alpha 90.00
_cell_angle_beta 90.00
_cell_angle_gamma 90.00
loop_
_atom_site_label
_atom_site_fract_x
_atom_site_fract_y
_atom_site_fract_z
_atom_site_occupancy
Ti1 0.000 0.500 0.000 1
Ti2 0.039 0.203 0.000 1
Nb1 0.178 0.678 0.500 1
Os1 0.139 0.361 0.500 1
Pd1 0.000 0.000 0.500 1
```

For the formation energy, the calculation gives -0.175 eV per atom. The total energy is -0.6543 Ry/atom. For the volume, the calculation gives 344.7 Å³/cell.



Record 13
Density functional theory data (GGA-PBE) for an optimized crystal structure of TmNbOsPd.

Geometry as CIF:
```
data_TmNbOsPd
_space_group_name_H-M_alt 'F -4 3 m'
_space_group_IT_number 216
_space_group_name_Hall 'F -4 2 3'
_cell_length_a 6.600
_cell_length_b 6.600
_cell_length_c 6.600
_cell_angle_alpha 90.00
_cell_angle_beta 90.00
_cell_angle_gamma 90.00
loop_
_atom_site_label
_atom_site_fract_x
_atom_site_fract_y
_atom_site_fract_z
_atom_site_occupancy
Tm1 0.000 0.000 0.000 1
Nb1 0.000 0.000 0.500 1
Os1 0.250 0.250 0.750 1
Pd1 0.250 0.250 0.250 1
```

For the formation energy, the calculation gives -0.318 eV per atom. The total energy is -0.5923 Ry/atom. For the volume, the calculation gives 287.5 Å³/cell.